Record 1
PBE-GGA Y6Ho2ErTm3, optimized geometry; symmetry = C2/m (12); calculated volume = 375 Å³/f.u.; DFT formation energy = 27 meV per atom
1.0
3.0651 -5.3018 0.0000
3.0651 5.3018 0.0000
-2.0373 0.0000 11.5500
Y Ho Er Tm
6 2 1 3
direct
0.0836 0.4169 0.7508 Y
0.2496 0.2496 0.2490 Y
0.4169 0.0836 0.7508 Y
0.5831 0.9164 0.2492 Y
0.7504 0.7504 0.7510 Y
0.9164 0.5831 0.2492 Y
0.3334 0.6666 0.5000 Ho
0.6666 0.3334 0.5000 Ho
0.0000 0.0000 0.5000 Er
0.1667 0.8333 0.0000 Tm
0.5000 0.5000 0.0000 Tm
0.8333 0.1667 0.0000 Tm

***

Record 2
PBE-GGA Y2HoErTm2, optimized geometry; symmetry = Pnnm (58); calculated volume = 192 Å³/f.u.; DFT formation energy = 275 meV per atom
1.0
6.4542 0.0000 0.0000
0.0000 17.6569 0.0000
0.0000 0.0000 3.3717
Y Ho Er Tm
4 2 2 4
direct
0.2279 0.1861 0.0000 Y
0.2721 0.6861 0.5000 Y
0.7279 0.3139 0.5000 Y
0.7721 0.8139 0.0000 Y
0.0000 0.5000 0.0000 Ho
0.5000 0.0000 0.5000 Ho
0.0000 0.0000 0.0000 Er
0.5000 0.5000 0.5000 Er
0.2263 0.3542 0.5000 Tm
0.2737 0.8542 0.0000 Tm
0.7263 0.1458 0.0000 Tm
0.7737 0.6458 0.5000 Tm

***

Record 3
PBE-GGA Y3HoErTm, optimized geometry; symmetry = Cmcm (63); calculated volume = 188 Å³/f.u.; DFT formation energy = 26 meV per atom
1.0
2.5023 -7.5148 0.0000
2.5023 7.5148 0.0000
0.0000 0.0000 9.9984
Y Ho Er Tm
6 2 2 2
direct
0.1658 0.8342 0.9997 Y
0.1658 0.8342 0.5003 Y
0.3340 0.6660 0.7500 Y
0.6660 0.3340 0.2500 Y
0.8342 0.1658 0.0003 Y
0.8342 0.1658 0.4997 Y
0.5000 0.5000 0.0000 Ho
0.5000 0.5000 0.5000 Ho
0.3347 0.6653 0.2500 Er
0.6653 0.3347 0.7500 Er
0.0007 0.9993 0.7500 Tm
0.9993 0.0007 0.2500 Tm

***

> The lowest DFT formation energy belongs to which entry?

Y3HoErTm